1.
Here is a relaxed PmPu3N4 crystal from Alexandria via LeMat-Bulk. Energies are from PBE.

Geometry as CIF:
```
data_PmPu3N4
_cell_length_a 6.9772
_cell_length_b 9.9846
_cell_length_c 3.5000
_cell_angle_alpha 90.00
_cell_angle_beta 90.00
_cell_angle_gamma 90.00
_space_group_name_H-M_alt 'C m m m'
_space_group_IT_number 65
_space_group_name_Hall '-C 2 2'
loop_
_atom_site_label
_atom_site_type_symbol
_atom_site_fract_x
_atom_site_fract_y
_atom_site_fract_z
Pm1 Pm 0.0000 0.0000 0.0000
Pu1 Pu 0.0000 0.5000 0.0000
Pu2 Pu 0.2500 0.2500 0.5000
N1 N 0.0000 0.2539 0.0000
N2 N 0.2329 0.5000 0.5000
```

Computed properties:
**Energy relative to the elements, uncorrected**: -1.2428 eV per atom



2.
Here is a relaxed Nd3DyMg6 crystal from Alexandria via LeMat-Bulk. Energies are from PBE.

Geometry as CIF:
```
data_Nd3DyMg6
_cell_length_a 9.4392
_cell_length_b 5.3338
_cell_length_c 11.4077
_cell_angle_alpha 90.00
_cell_angle_beta 105.36
_cell_angle_gamma 90.00
_space_group_name_H-M_alt 'P 1 21/m 1'
_space_group_IT_number 11
loop_
_space_group_symop_operation_xyz
'x,y,z'
'-x,-y,-z'
'-x,y+1/2,-z'
'x,-y+1/2,z'
loop_
_atom_site_label
_atom_site_type_symbol
_atom_site_fract_x
_atom_site_fract_y
_atom_site_fract_z
Nd1 Nd 0.0374 0.2500 0.3955
Nd2 Nd 0.1495 0.7500 0.2096
Nd3 Nd 0.2549 0.2500 0.0064
Dy1 Dy 0.4508 0.2500 0.6017
Mg1 Mg 0.0622 0.7500 0.9022
Mg2 Mg 0.1690 0.2500 0.7083
Mg3 Mg 0.2645 0.7500 0.5144
Mg4 Mg 0.3558 0.7500 0.8079
Mg5 Mg 0.3636 0.2500 0.3059
Mg6 Mg 0.4548 0.7500 0.1028
```

Computed properties:
**ΔE_f**: -0.0791 eV per atom



3.
Here is a relaxed Ce2SnCl2 crystal from Alexandria via LeMat-Bulk. Energies are from PBE.

Geometry as CIF:
```
data_Ce2SnCl2
_cell_length_a 4.3522
_cell_length_b 4.3522
_cell_length_c 30.0952
_cell_angle_alpha 90.00
_cell_angle_beta 90.00
_cell_angle_gamma 120.00
_space_group_name_H-M_alt 'R -3 m'
_space_group_IT_number 166
_space_group_name_Hall '-R 3 2"'
loop_
_atom_site_label
_atom_site_type_symbol
_atom_site_fract_x
_atom_site_fract_y
_atom_site_fract_z
Ce1 Ce 0.0000 0.0000 0.1040
Sn1 Sn 0.0000 0.0000 0.5000
Cl1 Cl 0.0000 0.0000 0.2789
```

Computed properties:
**Energy relative to the elements, uncorrected**: -1.3998 eV per atom



4.
Here is a relaxed CsLiIn2Br8 crystal from Alexandria via LeMat-Bulk. Energies are from PBE.

Geometry as CIF:
```
data_CsLiIn2Br8
_cell_length_a 6.9812
_cell_length_b 6.9812
_cell_length_c 32.2958
_cell_angle_alpha 90.00
_cell_angle_beta 90.00
_cell_angle_gamma 120.00
_space_group_name_H-M_alt 'R 3 2'
_space_group_IT_number 155
_space_group_name_Hall 'R 3 2"'
loop_
_atom_site_label
_atom_site_type_symbol
_atom_site_fract_x
_atom_site_fract_y
_atom_site_fract_z
Cs1 Cs 0.0000 0.0000 0.0000
Li1 Li 0.0000 0.0000 0.5000
In1 In 0.0000 0.0000 0.2478
Br1 Br 0.0000 0.0000 0.3267
Br2 Br 0.0094 0.3551 0.2254
```

Computed properties:
**Energy relative to the elements, uncorrected**: -1.0932 eV per atom



5.
Here is a relaxed Al3CuTe crystal from Alexandria via LeMat-Bulk. Energies are from PBE.

Geometry as CIF:
```
data_Al3CuTe
_cell_length_a 4.7120
_cell_length_b 4.7120
_cell_length_c 4.7120
_cell_angle_alpha 90.00
_cell_angle_beta 90.00
_cell_angle_gamma 90.00
_space_group_name_H-M_alt 'P m -3 m'
_space_group_IT_number 221
_space_group_name_Hall '-P 4 2 3'
loop_
_atom_site_label
_atom_site_type_symbol
_atom_site_fract_x
_atom_site_fract_y
_atom_site_fract_z
Al1 Al 0.0000 0.0000 0.5000
Cu1 Cu 0.0000 0.0000 0.0000
Te1 Te 0.5000 0.5000 0.5000
```

Computed properties:
**Energy relative to the elements, uncorrected**: 0.0777 eV per atom



6.
Here is a relaxed DyHoPb crystal from Alexandria via LeMat-Bulk. Energies are from PBE.

Geometry as CIF:
```
data_DyHoPb
_cell_length_a 3.9435
_cell_length_b 3.9435
_cell_length_c 11.3129
_cell_angle_alpha 90.00
_cell_angle_beta 90.00
_cell_angle_gamma 90.00
_space_group_name_H-M_alt 'I 4 m m'
_space_group_IT_number 107
_space_group_name_Hall 'I 4 -2'
loop_
_atom_site_label
_atom_site_type_symbol
_atom_site_fract_x
_atom_site_fract_y
_atom_site_fract_z
Dy1 Dy 0.0000 0.0000 0.0000
Ho1 Ho 0.0000 0.0000 0.6865
Pb1 Pb 0.0000 0.0000 0.3422
```

Computed properties:
**ΔE_f**: -0.2658 eV per atom